A plane-wave DFT calculation with GGA-PBE was carried out for a relaxed structure of NaPb3Au3.

## Properties
Calculated formation energy ... -0.105 eV/atom
Spin magnetization ... 0.00 μB per formula unit
Offset from the most stable computed form ... 19 meV per atom
E_tot ... -3.288 eV/atom

abc: 8.2619 8.2619 17.7864
angles: 90.00 90.00 120.00
Space group R-3 (No. 148, hexagonal axes)
Symmetry-distinct sites (fractional):
Na (0.0000, 0.0000, 0.1226) (multiplicity 6)
Pb (0.0344, 0.2581, 0.7239) (multiplicity 18)
Au (0.0475, 0.2530, 0.5594) (multiplicity 18)

=====

A plane-wave DFT calculation with GGA-PBE was carried out for a relaxed structure of Na3Pb3Au2.

## Properties
Calculated formation energy ... -0.194 eV/atom
Spin magnetization ... 0.00 μB per formula unit
E_tot ... -2.899 eV/atom

abc: 4.826 11.080 16.196
angles: 90.00 90.00 90.00
Space group Cmcm (No. 63)
Symmetry-distinct sites (fractional):
Na (0.000, 0.060, 0.112) (multiplicity 8)
Na (0.000, 0.308, 0.250) (multiplicity 4)
Pb (0.000, 0.367, 0.044) (multiplicity 8)
Pb (0.000, 0.406, 0.750) (multiplicity 4)
Au (0.000, 0.237, 0.617) (multiplicity 8)

=====

A plane-wave DFT calculation with GGA-PBE was carried out for a relaxed structure of Na4PbAu.

## Properties
Calculated formation energy ... -0.197 eV/atom
Spin magnetization ... 0.00 μB per formula unit
E_tot ... -2.241 eV/atom

abc: 5.579 7.880 15.491
angles: 90.00 90.00 90.00
Space group Immm (No. 71)
Symmetry-distinct sites (fractional):
Na (0.000, 0.000, 0.179) (multiplicity 4)
Na (0.000, 0.245, 0.366) (multiplicity 8)
Na (0.000, 0.318, 0.000) (multiplicity 4)
Pb (0.000, 0.500, 0.194) (multiplicity 4)
Au (0.245, 0.500, 0.500) (multiplicity 4)

=====

A plane-wave DFT calculation with GGA-PBE was carried out for a relaxed structure of NaPb4Au.

## Properties
Calculated formation energy ... -0.087 eV/atom
Spin magnetization ... 0.00 μB per formula unit
E_tot ... -3.325 eV/atom

abc: 9.690 14.265 6.239
angles: 90.00 127.87 90.00
Space group C2/c (No. 15)
Symmetry-distinct sites (fractional):
Na (0.000, 0.080, 0.250) (multiplicity 4)
Pb (0.169, 0.296, 0.192) (multiplicity 8)
Pb (0.173, 0.441, 0.753) (multiplicity 8)
Au (0.000, 0.150, 0.750) (multiplicity 4)

=====

A plane-wave DFT calculation with GGA-PBE was carried out for a relaxed structure of NaPbAu4.

## Properties
Calculated formation energy ... -0.185 eV/atom
Spin magnetization ... 0.00 μB per formula unit
E_tot ... -3.207 eV/atom

abc: 8.027 8.027 8.027
angles: 90.00 90.00 90.00
Space group F-43m (No. 216)
Symmetry-distinct sites (fractional):
Na (0.000, 0.000, 0.000) (multiplicity 4)
Pb (0.250, 0.250, 0.750) (multiplicity 4)
Au (0.125, 0.125, 0.375) (multiplicity 16)

=====

A plane-wave DFT calculation with GGA-PBE was carried out for a relaxed structure of NaPb8Au2.

## Properties
Calculated formation energy ... -0.031 eV/atom
Spin magnetization ... 0.00 μB per formula unit
Offset from the most stable computed form ... 0 meV per atom
E_tot ... -3.444 eV/atom

abc: 9.012 13.206 5.612
angles: 90.00 103.13 90.00
Space group C2/m (No. 12)
Symmetry-distinct sites (fractional):
Na (0.000, 0.000, 0.000) (multiplicity 2)
Pb (0.000, 0.250, 0.000) (multiplicity 4)
Pb (0.131, 0.500, 0.828) (multiplicity 4)
Pb (0.201, 0.130, 0.612) (multiplicity 8)
Au (0.000, 0.326, 0.500) (multiplicity 4)

=====

A plane-wave DFT calculation with GGA-PBE was carried out for a relaxed structure of NaPb3Au3.

## Properties
Calculated formation energy ... -0.124 eV/atom
Spin magnetization ... 0.00 μB per formula unit
Offset from the most stable computed form ... 0 meV per atom
E_tot ... -3.306 eV/atom

abc: 8.7076 8.7076 17.5906
angles: 90.00 90.00 120.00
Space group R-3 (No. 148, hexagonal axes)
Symmetry-distinct sites (fractional):
Na (0.0000, 0.0000, 0.1644) (multiplicity 6)
Pb (0.0051, 0.7130, 0.5935) (multiplicity 18)
Au (0.0061, 0.6304, 0.4262) (multiplicity 18)

=====

A plane-wave DFT calculation with GGA-PBE was carried out for a relaxed structure of Na12PbAu6.

## Properties
Calculated formation energy ... -0.213 eV/atom
Spin magnetization ... 0.00 μB per formula unit
E_tot ... -2.276 eV/atom

abc: 10.140 10.140 10.140
angles: 90.00 90.00 90.00
Space group Im-3 (No. 204)
Symmetry-distinct sites (fractional):
Na (0.000, 0.288, 0.175) (multiplicity 24)
Pb (0.000, 0.000, 0.000) (multiplicity 2)
Au (0.000, 0.137, 0.500) (multiplicity 12)

=====

A plane-wave DFT calculation with GGA-PBE was carried out for a relaxed structure of NaPb3Au.

## Properties
Calculated formation energy ... 0.167 eV/atom
Spin magnetization ... 0.00 μB per formula unit
Offset from the most stable computed form ... 282 meV per atom
E_tot ... -2.977 eV/atom

abc: 5.655 5.655 5.655
angles: 90.00 90.00 90.00
Space group Pm-3m (No. 221)
Symmetry-distinct sites (fractional):
Na (0.000, 0.000, 0.000) (multiplicity 1)
Pb (0.000, 0.500, 0.500) (multiplicity 3)
Au (0.500, 0.500, 0.500) (multiplicity 1)

=====

A plane-wave DFT calculation with GGA-PBE was carried out for a relaxed structure of Na8Pb2Au.

## Properties
Calculated formation energy ... -0.140 eV/atom
Spin magnetization ... 0.00 μB per formula unit
Offset from the most stable computed form ... 14 meV per atom
E_tot ... -2.072 eV/atom

abc: 5.756 6.953 8.573
angles: 76.86 82.87 88.91
Space group P-1 (No. 2)
Symmetry-distinct sites (fractional):
Na (0.005, 0.250, 0.493) (multiplicity 2)
Na (0.115, 0.084, 0.136) (multiplicity 2)
Na (0.418, 0.681, 0.810) (multiplicity 2)
Na (0.439, 0.251, 0.738) (multiplicity 2)
Pb (0.082, 0.579, 0.157) (multiplicity 2)
Au (0.500, 0.000, 0.500) (multiplicity 1)

=====

A plane-wave DFT calculation with GGA-PBE was carried out for a relaxed structure of NaPb2Au.

## Properties
Calculated formation energy ... -0.153 eV/atom
Spin magnetization ... 0.00 μB per formula unit
E_tot ... -3.157 eV/atom

abc: 4.8974 4.8974 16.7407
angles: 90.00 90.00 120.00
Space group R3m (No. 160, hexagonal axes)
Symmetry-distinct sites (fractional):
Na (0.0000, 0.0000, 0.0000) (multiplicity 3)
Pb (0.0000, 0.0000, 0.5676) (multiplicity 3)
Pb (0.0000, 0.0000, 0.7822) (multiplicity 3)
Au (0.0000, 0.0000, 0.1824) (multiplicity 3)

=====

A plane-wave DFT calculation with GGA-PBE was carried out for a relaxed structure of NaPb3Au.

## Properties
Calculated formation energy ... 0.638 eV/atom
Spin magnetization ... 0.00 μB per formula unit
Offset from the most stable computed form ... 753 meV per atom
E_tot ... -2.506 eV/atom

abc: 5.460 5.460 5.460
angles: 90.00 90.00 90.00
Space group Pm-3m (No. 221)
Symmetry-distinct sites (fractional):
Na (0.000, 0.000, 0.000) (multiplicity 1)
Pb (0.000, 0.000, 0.500) (multiplicity 3)
Au (0.500, 0.500, 0.500) (multiplicity 1)

=====

What is the formula in the seventh record?
NaPb3Au3

=====

Among the records above, which one has the highest E_tot?
Na8Pb2Au